The following is a DFT calculation (GGA-PBE) of crystalline Rb2TiHgI6 at its relaxed geometry.

Values from the calculation:
As for the total energy: -2.87 eV/atom. The value obtained for the uncorrected formation energy is -0.924 eV per atom. The size of the total moment comes out at 0.00 μB per atom.

Lattice parameters (Å, degrees): 9.2464 9.2402 8.1497 55.48 55.53 60.03
Fractional positions:
Hg  0.8152  0.8152  0.5544
Rb  0.5754  0.5757  0.2737
I  0.1399  0.4420  0.7913
I  0.4932  0.1898  0.3109
Ti  0.3162  0.3162  0.0513
I  0.6266  0.1392  0.7924
I  0.0063  0.4940  0.3099
I  0.4421  0.6267  0.7920
I  0.1897  0.0061  0.3103
Rb  0.0570  0.0567  0.8291

The following is a DFT calculation (GGA-PBE) of crystalline Tm3Sc2S8 at its relaxed geometry.

Values from the calculation:
As for the total energy: -6.32 eV/atom. The value obtained for the uncorrected formation energy is -1.771 eV per atom. The size of the total moment comes out at 0.00 μB per atom.

Lattice parameters (Å, degrees): 6.5085 7.6437 7.6279 120.07 106.86 90.00
Fractional positions:
S  0.9302  0.1215  0.2429
S  0.1185  0.3842  0.7684
Tm  0.5000  0.0000  0.0000
S  0.5853  0.1095  0.7431
Sc  0.3378  0.2576  0.5153
S  0.4147  0.3664  0.2569
S  0.5853  0.6336  0.7431
Tm  0.0000  0.7382  0.0000
S  0.0698  0.8785  0.7571
S  0.4147  0.8905  0.2569
Tm  0.0000  0.2618  0.0000
Sc  0.6622  0.7424  0.4847
S  0.8815  0.6158  0.2316

The following is a DFT calculation (GGA-PBE) of crystalline VIn2AuC at its relaxed geometry.

Values from the calculation:
For the energy relative to the elements, the calculation gives 0.86 eV per atom. As for the total energy: -4.56 eV/atom. The size of the total moment comes out at 0.25 μB per atom.

Lattice parameters (Å, degrees): 5.4746 3.7780 5.4746 90.00 90.00 90.00
Site moments in Bohr magnetons follow the coordinates.
Fractional positions:
In  0.0000  0.0000  0.5000  0.02
C  0.0000  0.5000  0.0000  -0.02
In  0.5000  0.0000  0.0000  0.03
V  0.0000  0.0000  0.0000  0.98
Au  0.5000  0.5000  0.5000  0.04

The following is a DFT calculation (GGA-PBE) of crystalline K2Pb3Br8 at its relaxed geometry.

Values from the calculation:
As for the total energy: -3.24 eV/atom. The value obtained for the uncorrected formation energy is -1.187 eV per atom. The size of the total moment comes out at 0.00 μB per atom.

Lattice parameters (Å, degrees): 7.7033 9.0332 9.3140 119.01 106.49 90.00
Fractional positions:
Pb  0.0000  0.2596  0.0000
Br  0.9100  0.1113  0.2226
Br  0.5998  0.1153  0.7703
Br  0.9411  0.6145  0.2290
Br  0.4002  0.8847  0.2297
Br  0.0589  0.3855  0.7710
K  0.6573  0.7320  0.4639
Br  0.4002  0.3450  0.2297
Pb  0.5000  0.0000  0.0000
Pb  0.0000  0.7404  0.0000
K  0.3427  0.2680  0.5361
Br  0.5998  0.6550  0.7703
Br  0.0900  0.8887  0.7774

The following is a DFT calculation (GGA-PBE) of crystalline Ba2VBiOs at its relaxed geometry.

Values from the calculation:
For the energy relative to the elements, the calculation gives 0.37 eV per atom. As for the total energy: -5.24 eV/atom. The size of the total moment comes out at 0.40 μB per atom.

Lattice parameters (Å, degrees): 6.1642 4.6596 6.1642 90.00 90.00 90.00
Site moments in Bohr magnetons follow the coordinates.
Fractional positions:
V  0.0000  0.5000  0.0000  2.08
Ba  0.5000  0.0000  0.0000  0.03
Ba  0.0000  0.0000  0.5000  0.03
Os  0.0000  0.0000  0.0000  -0.52
Bi  0.5000  0.5000  0.5000  -0.19

The following is a DFT calculation (GGA-PBE) of crystalline InMoCl at its relaxed geometry.

Values from the calculation:
As for the total energy: -4.66 eV/atom. The value obtained for the uncorrected formation energy is 0.478 eV per atom. The size of the total moment comes out at 0.20 μB per atom.

Lattice parameters (Å, degrees): 4.6217 4.6217 3.0303 90.00 90.00 120.00
Site moments in Bohr magnetons follow the coordinates.
Fractional positions:
Cl  0.0000  0.0000  0.8334  0.00
In  0.6667  0.3333  0.3332  -0.01
Mo  0.3333  0.6667  0.8334  0.51

The following is a DFT calculation (GGA-PBE) of crystalline SrLi2Pb at its relaxed geometry.

Values from the calculation:
For the energy relative to the elements, the calculation gives -0.11 eV per atom. As for the total energy: -2.41 eV/atom. The size of the total moment comes out at 0.00 μB per atom.

Lattice parameters (Å, degrees): 6.4874 6.4874 3.7340 74.51 74.51 117.31
Fractional positions:
Pb  0.5000  0.0000  0.5000
Li  0.0000  0.0000  0.0000
Sr  0.0000  0.5000  0.5000
Li  0.5000  0.5000  0.0000

The following is a DFT calculation (GGA-PBE) of crystalline CaNd2Sb2 at its relaxed geometry.

Values from the calculation:
As for the total energy: -4.96 eV/atom. The value obtained for the uncorrected formation energy is -1.007 eV per atom. The size of the total moment comes out at 0.00 μB per atom.

Lattice parameters (Å, degrees): 4.3315 8.4573 8.4573 90.00 90.00 90.00
Fractional positions:
Sb  0.0000  0.8517  0.6483
Sb  0.0000  0.6483  0.1483
Nd  0.5000  0.1551  0.6551
Sb  0.0000  0.1483  0.3517
Ca  0.0000  0.5000  0.5000
Nd  0.5000  0.8449  0.3449
Ca  0.0000  0.0000  0.0000
Sb  0.0000  0.3517  0.8517
Nd  0.5000  0.3449  0.1551
Nd  0.5000  0.6551  0.8449

The following is a DFT calculation (GGA-PBE) of crystalline YMgZn2 at its relaxed geometry.

Values from the calculation:
For the energy relative to the elements, the calculation gives -0.25 eV per atom. As for the total energy: -2.90 eV/atom. The size of the total moment comes out at 0.00 μB per atom.

Lattice parameters (Å, degrees): 4.7845 4.7845 3.6510 90.05 90.05 90.00
Fractional positions:
Y  0.0000  0.5000  0.5000
Zn  0.5000  0.5000  0.0000
Zn  0.0000  0.0000  0.0000
Mg  0.5000  0.0000  0.5000

The following is a DFT calculation (GGA-PBE) of crystalline La2Ge3Pd2 at its relaxed geometry.

Values from the calculation:
For the energy relative to the elements, the calculation gives -0.75 eV per atom. As for the total energy: -5.62 eV/atom. The size of the total moment comes out at 0.00 μB per atom.

Lattice parameters (Å, degrees): 4.5028 5.6141 6.7791 104.69 90.00 113.64
Fractional positions:
Pd  0.1418  0.2835  0.2721
Ge  0.3953  0.7906  0.5649
La  0.8445  0.6891  0.2183
Ge  0.6047  0.2094  0.4351
La  0.1555  0.3109  0.7817
Pd  0.8582  0.7165  0.7279
Ge  0.5000  0.0000  0.0000

The following is a DFT calculation (GGA-PBE) of crystalline LaCr2Ru at its relaxed geometry.

Values from the calculation:
For the energy relative to the elements, the calculation gives 0.66 eV per atom. As for the total energy: -7.71 eV/atom. The size of the total moment comes out at 1.64 μB per atom.

Lattice parameters (Å, degrees): 4.9081 4.9081 3.1452 90.00 90.00 108.61
Site moments in Bohr magnetons follow the coordinates.
Fractional positions:
Cr  0.5000  0.5000  0.0000  3.02
Cr  0.0000  0.0000  0.0000  3.02
Ru  0.0000  0.5000  0.5000  -0.07
La  0.5000  0.0000  0.5000  0.07

The following is a DFT calculation (GGA-PBE) of crystalline Fe2RhSe at its relaxed geometry.

Values from the calculation:
As for the total energy: -6.78 eV/atom. The value obtained for the uncorrected formation energy is 0.156 eV per atom. The size of the total moment comes out at 1.25 μB per atom.

Lattice parameters (Å, degrees): 2.8997 2.8997 6.4060 90.00 90.00 89.98
Site moments in Bohr magnetons follow the coordinates.
Fractional positions:
Fe  0.0000  0.0000  0.5116  2.31
Se  0.5000  0.5000  0.7500  -0.10
Rh  0.5000  0.5000  0.2500  0.59
Fe  0.0000  0.0000  0.9884  2.31

> Among the records above, which one has the highest size of the total moment?

LaCr2Ru